Computed, not measured: crystalline TbZr2Mn at its relaxed geometry at the PBE level of DFT.

Results
DOS at the Fermi energy, states/eV per cell: 16.869
E_tot, eV/atom: -7.36
E above lowest polymorph, eV/atom: 0.273
Calculated density, g/cm³: 7.18
Formation enthalpy at 0 K, eV per atom: 0.364
M_tot, μB per cell: 2.141

a b c (Å): 3.2329 3.2329 30.3735
angles (deg): 90.00 90.00 120.00
Space group R-3m (No. 166, hexagonal axes)
One atom of each set of equivalent atoms:
Tb: 0.0000 0.0000 0.0000
Zr: 0.0000 0.0000 0.1058
Mn: 0.0000 0.0000 0.5000

***

Computed, not measured: crystalline ZrSeIO2 at its relaxed geometry at the PBE level of DFT.

Results
DOS at the Fermi energy, states/eV per cell: 4.582
Energy relative to the elements, uncorrected, meV/atom: 171
E_tot, eV/atom: -4.53
E above lowest polymorph, eV/atom: 1.464
Calculated density, g/cm³: 5.71
M_tot, μB per cell: 1.210

a b c (Å): 4.051 4.051 5.835
angles (deg): 90.00 90.00 90.00
Space group P4/mmm (No. 123)
One atom of each set of equivalent atoms:
Zr: 0.000 0.000 0.000
Se: 0.500 0.500 0.500
I: 0.500 0.500 0.000
O: 0.000 0.500 0.500

***

Computed, not measured: crystalline UFeNiPt at its relaxed geometry at the PBE level of DFT.

Results
DOS at the Fermi energy, states/eV per cell: 22.096
E_tot, eV/atom: -8.10
E above lowest polymorph, eV/atom: 0.183
Calculated density, g/cm³: 14.77
Formation enthalpy at 0 K, eV per atom: -0.208
M_tot, μB per cell: 0.637

a b c (Å): 6.269 6.269 6.269
angles (deg): 90.00 90.00 90.00
Space group F-43m (No. 216)
One atom of each set of equivalent atoms:
U: 0.000 0.000 0.000
Fe: 0.250 0.250 0.750
Ni: 0.250 0.250 0.250
Pt: 0.000 0.000 0.500

***

Computed, not measured: crystalline BeCr2Re at its relaxed geometry at the PBE level of DFT.

Results
DOS at the Fermi energy, states/eV per cell: 7.506
E_tot, eV/atom: -8.71
Calculated density, g/cm³: 10.43
Formation enthalpy at 0 K, eV per atom: 0.150
M_tot, μB per cell: 0.013

a b c (Å): 3.572 3.572 7.472
angles (deg): 90.00 90.00 90.00
Space group I-4m2 (No. 119)
One atom of each set of equivalent atoms:
Be: 0.000 0.000 0.000
Cr: 0.000 0.000 0.500
Cr: 0.000 0.500 0.750
Re: 0.000 0.500 0.250

***

Computed, not measured: crystalline GaS6F2 at its relaxed geometry at the PBE level of DFT.

Results
DOS at the Fermi energy, states/eV per cell: 3.382
Energy relative to the elements, uncorrected, meV/atom: -647
E_tot, eV/atom: -4.15
Calculated density, g/cm³: 2.35
M_tot, μB per cell: 0.001

a b c (Å): 3.035 8.622 8.652
angles (deg): 71.71 80.60 86.92
Space group P-1 (No. 2)
One atom of each set of equivalent atoms:
Ga: 0.000 0.000 0.000
S: 0.131 0.951 0.738
S: 0.136 0.699 0.809
S: 0.238 0.635 0.609
F: 0.486 0.844 0.080

***

Computed, not measured: crystalline TbSm6Tm12 at its relaxed geometry at the PBE level of DFT.

Results
DOS at the Fermi energy, states/eV per cell: 96.336
E_tot, eV/atom: -4.34
E above lowest polymorph, eV/atom: 0.097
Calculated density, g/cm³: 8.27
Formation enthalpy at 0 K, eV per atom: 0.221
M_tot, μB per cell: 0.005

a b c (Å): 13.1067 13.1067 12.4974
angles (deg): 90.00 90.00 120.00
Space group R-3m (No. 166, hexagonal axes)
One atom of each set of equivalent atoms:
Tb: 0.0000 0.0000 0.0000
Sm: 0.0375 0.5187 0.6180
Tm: 0.0000 0.2566 0.5000
Tm: 0.0911 0.1822 0.2636

***

Computed, not measured: crystalline Rb3DyEr2Se6 at its relaxed geometry at the PBE level of DFT.

Results
DOS at the Fermi energy, states/eV per cell: 0.000
Energy relative to the elements, uncorrected, meV/atom: -1734
E_tot, eV/atom: -4.86
Calculated density, g/cm³: 5.51
M_tot, μB per cell: 0.000

a b c (Å): 7.309 12.659 8.353
angles (deg): 90.00 106.96 90.00
Space group C2/m (No. 12)
One atom of each set of equivalent atoms:
Rb: 0.000 0.000 0.000
Rb: 0.000 0.334 0.000
Dy: 0.000 0.500 0.500
Er: 0.000 0.167 0.500
Se: 0.230 0.000 0.694
Se: 0.232 0.332 0.695

***

Computed, not measured: crystalline KPbBr at its relaxed geometry at the PBE level of DFT.

Results
DOS at the Fermi energy, states/eV per cell: 1.879
Energy relative to the elements, uncorrected, meV/atom: -449
E_tot, eV/atom: -2.61
E above lowest polymorph, eV/atom: 0.112
Calculated density, g/cm³: 5.18
M_tot, μB per cell: 0.000

a b c (Å): 5.7148 5.7148 3.6968
angles (deg): 90.00 90.00 120.00
Space group P-6m2 (No. 187)
One atom of each set of equivalent atoms:
K: 0.0000 0.0000 0.0000
Pb: 0.6667 0.3333 0.5000
Br: 0.3333 0.6667 0.5000

***

Computed, not measured: crystalline Tm5As4O at its relaxed geometry at the PBE level of DFT.

Results
DOS at the Fermi energy, states/eV per cell: 4.620
Energy relative to the elements, uncorrected, meV/atom: -1695
E_tot, eV/atom: -6.29
Calculated density, g/cm³: 8.73
M_tot, μB per cell: 0.000

a b c (Å): 8.795 8.795 5.705
angles (deg): 90.00 90.00 90.00
Space group I4 (No. 79)
One atom of each set of equivalent atoms:
Tm: 0.000 0.000 0.000
Tm: 0.098 0.714 0.570
As: 0.094 0.700 0.070
O: 0.000 0.000 0.623

***

Computed, not measured: crystalline MnAlIrOs2 at its relaxed geometry at the PBE level of DFT.

Results
DOS at the Fermi energy, states/eV per cell: 5.619
E_tot, eV/atom: -7.56
Calculated density, g/cm³: 13.36
Formation enthalpy at 0 K, eV per atom: 1.284
M_tot, μB per cell: 0.000

a b c (Å): 4.353 4.353 4.294
angles (deg): 90.00 90.00 90.00
Space group P4/mmm (No. 123)
One atom of each set of equivalent atoms:
Mn: 0.000 0.000 0.000
Al: 0.000 0.000 0.500
Ir: 0.500 0.500 0.500
Os: 0.000 0.500 0.000

***

Computed, not measured: crystalline TiSiP2S at its relaxed geometry at the PBE level of DFT.

Results
DOS at the Fermi energy, states/eV per cell: 5.042
Energy relative to the elements, uncorrected, meV/atom: 431
E_tot, eV/atom: -5.22
E above lowest polymorph, eV/atom: 0.058
Calculated density, g/cm³: 3.14
M_tot, μB per cell: 1.040

a b c (Å): 4.480 4.480 4.483
angles (deg): 90.00 90.00 90.00
Space group P4/mmm (No. 123)
One atom of each set of equivalent atoms:
Ti: 0.000 0.000 0.000
Si: 0.500 0.500 0.500
P: 0.000 0.500 0.500
S: 0.500 0.500 0.000

***

Computed, not measured: crystalline SrZrTl at its relaxed geometry at the PBE level of DFT.

Results
DOS at the Fermi energy, states/eV per cell: 5.448
E_tot, eV/atom: -4.07
E above lowest polymorph, eV/atom: 0.000
Calculated density, g/cm³: 7.19
Formation enthalpy at 0 K, eV per atom: 0.126
M_tot, μB per cell: 0.000

a b c (Å): 3.490 3.490 14.536
angles (deg): 90.00 90.00 90.00
Space group I4mm (No. 107)
One atom of each set of equivalent atoms:
Sr: 0.000 0.000 0.000
Zr: 0.000 0.000 0.693
Tl: 0.000 0.000 0.327

***

Computed, not measured: crystalline MgReTc2Sb at its relaxed geometry at the PBE level of DFT.

Results
DOS at the Fermi energy, states/eV per cell: 7.052
Energy relative to the elements, uncorrected, meV/atom: 1297
E_tot, eV/atom: -6.48
Calculated density, g/cm³: 7.59
M_tot, μB per cell: 1.053

a b c (Å): 4.780 4.780 5.060
angles (deg): 90.00 90.00 90.00
Space group P4/mmm (No. 123)
One atom of each set of equivalent atoms:
Mg: 0.000 0.000 0.000
Re: 0.500 0.500 0.500
Tc: 0.000 0.500 0.500
Sb: 0.500 0.500 0.000

***

Computed, not measured: crystalline SnHgP2 at its relaxed geometry at the PBE level of DFT.

Results
DOS at the Fermi energy, states/eV per cell: 8.584
E_tot, eV/atom: -3.23
Calculated density, g/cm³: 7.72
Formation enthalpy at 0 K, eV per atom: 0.551
M_tot, μB per cell: 0.000

a b c (Å): 6.896 6.896 6.896
angles (deg): 90.00 90.00 90.00
Space group Fm-3m (No. 225)
One atom of each set of equivalent atoms:
Sn: 0.000 0.000 0.000
Hg: 0.000 0.000 0.500
P: 0.250 0.250 0.250

***

Computed, not measured: crystalline VCo2Rh at its relaxed geometry at the PBE level of DFT.

Results
DOS at the Fermi energy, states/eV per cell: 30.911
E_tot, eV/atom: -7.64
E above lowest polymorph, eV/atom: 0.252
Calculated density, g/cm³: 9.08
Formation enthalpy at 0 K, eV per atom: 0.034
M_tot, μB per cell: 6.766

a b c (Å): 5.837 5.837 5.837
angles (deg): 90.00 90.00 90.00
Space group Fm-3m (No. 225)
One atom of each set of equivalent atoms:
V: 0.000 0.000 0.000
Co: 0.250 0.250 0.250
Rh: 0.000 0.000 0.500

***

Computed, not measured: crystalline La2MgSb4Ir3 at its relaxed geometry at the PBE level of DFT.

Results
DOS at the Fermi energy, states/eV per cell: 4.674
Energy relative to the elements, uncorrected, meV/atom: -674
E_tot, eV/atom: -6.13
Calculated density, g/cm³: 9.84
M_tot, μB per cell: 0.000

a b c (Å): 4.563 4.563 11.068
angles (deg): 90.00 90.00 90.00
Space group P-4m2 (No. 115)
One atom of each set of equivalent atoms:
La: 0.000 0.500 0.244
Mg: 0.000 0.000 0.500
Sb: 0.000 0.000 0.000
Sb: 0.000 0.500 0.643
Sb: 0.500 0.500 0.000
Ir: 0.000 0.500 0.880
Ir: 0.500 0.500 0.500

***

Computed, not measured: crystalline Cu5Ni at its relaxed geometry at the PBE level of DFT.

Results
DOS at the Fermi energy, states/eV per cell: 6.711
E_tot, eV/atom: -4.36
E above lowest polymorph, eV/atom: 0.017
Calculated density, g/cm³: 8.89
Formation enthalpy at 0 K, eV per atom: 0.015
M_tot, μB per cell: 0.000

a b c (Å): 4.178 2.547 13.210
angles (deg): 90.00 90.00 90.00
Space group Amm2 (No. 38)
One atom of each set of equivalent atoms:
Cu: 0.000 0.000 0.000
Cu: 0.000 0.000 0.331
Cu: 0.500 0.000 0.219
Cu: 0.500 0.000 0.555
Cu: 0.500 0.000 0.887
Ni: 0.000 0.000 0.666

***

Computed, not measured: crystalline Dy2YTh3Se6 at its relaxed geometry at the PBE level of DFT.

Results
DOS at the Fermi energy, states/eV per cell: 15.930
Energy relative to the elements, uncorrected, meV/atom: -1640
E_tot, eV/atom: -6.54
Calculated density, g/cm³: 8.73
M_tot, μB per cell: 0.000

a b c (Å): 6.966 11.996 7.568
angles (deg): 90.00 107.68 90.00
Space group C2/m (No. 12)
One atom of each set of equivalent atoms:
Dy: 0.000 0.167 0.000
Y: 0.000 0.500 0.000
Th: 0.000 0.000 0.500
Th: 0.000 0.334 0.500
Se: 0.244 0.000 0.233
Se: 0.245 0.333 0.234

***

Computed, not measured: crystalline La2PbI at its relaxed geometry at the PBE level of DFT.

Results
DOS at the Fermi energy, states/eV per cell: 16.561
Energy relative to the elements, uncorrected, meV/atom: -345
E_tot, eV/atom: -4.12
E above lowest polymorph, eV/atom: 0.535
Calculated density, g/cm³: 5.23
M_tot, μB per cell: 2.886

a b c (Å): 6.984 6.984 15.926
angles (deg): 90.00 90.00 90.00
Space group I-42d (No. 122)
One atom of each set of equivalent atoms:
La: 0.232 0.250 0.125
Pb: 0.000 0.000 0.000
I: 0.000 0.000 0.500

***

Computed, not measured: crystalline Zr2SiRuN at its relaxed geometry at the PBE level of DFT.

Results
DOS at the Fermi energy, states/eV per cell: 4.949
Energy relative to the elements, uncorrected, meV/atom: -622
E_tot, eV/atom: -8.65
Calculated density, g/cm³: 6.89
M_tot, μB per cell: 0.000

a b c (Å): 4.405 4.405 4.047
angles (deg): 90.00 90.00 90.00
Space group P4/mmm (No. 123)
One atom of each set of equivalent atoms:
Zr: 0.000 0.500 0.000
Si: 0.000 0.000 0.500
Ru: 0.500 0.500 0.500
N: 0.500 0.500 0.000